Computed, not measured: ZrAg2Ru2 after structural relaxation at the PBE-GGA level of DFT.

```
ZrAg2Ru2
1.0
3.8052 0.0000 0.0000
0.0000 3.8052 0.0000
0.0000 0.0000 12.8194
Zr Ag Ru
2 4 4
Direct
0.0000 0.0000 0.0000
0.5000 0.5000 0.5000
0.0000 0.5000 0.2500
0.0000 0.5000 0.7500
0.5000 0.0000 0.2500
0.5000 0.0000 0.7500
0.0000 0.0000 0.4090
0.0000 0.0000 0.5910
0.5000 0.5000 0.0910
0.5000 0.5000 0.9090
```

Computed properties:
formation energy	8.4	kcal/mol of atoms
Fermi-level density of states	3.71	states/eV/f.u.
total magnetic moment	1.947	μB per formula unit
SG	I4/mmm
raw total energy	-62.0	eV per cell
calculated density	9.1	Mg/m³

***

Computed, not measured: Ba2CaTlSn after structural relaxation at the PBE-GGA level of DFT.

```
Ba2CaTlSn
1.0
6.7314 0.0000 0.0000
0.0000 6.7314 0.0000
0.0000 0.0000 5.8033
Ba Ca Tl Sn
2 1 1 1
Direct
0.0000 0.5000 0.0000
0.5000 0.0000 0.0000
0.0000 0.0000 0.5000
0.5000 0.5000 0.5000
0.5000 0.5000 0.0000
```

Computed properties:
formation energy	0.1	kcal/mol of atoms
Fermi-level density of states	5.63	states/eV/f.u.
total magnetic moment	0.000	μB per formula unit
SG	P4/mmm
raw total energy	-12.2	eV per cell
calculated density	4.0	Mg/m³

***

Computed, not measured: BeSbAu after structural relaxation at the PBE-GGA level of DFT.

```
BeSbAu
1.0
10.2729 0.0000 0.0000
0.0000 3.4452 0.0000
0.0000 0.0000 6.2309
Be Sb Au
4 4 4
Direct
0.0702 0.2500 0.0652
0.4298 0.7500 0.5652
0.5702 0.2500 0.4348
0.9298 0.7500 0.9348
0.2303 0.2500 0.3959
0.2697 0.7500 0.8959
0.7303 0.2500 0.1041
0.7697 0.7500 0.6041
0.0105 0.2500 0.7020
0.4895 0.7500 0.2020
0.5105 0.2500 0.7980
0.9895 0.7500 0.2980
```

Computed properties:
Fermi-level density of states	1.39	states/eV/f.u.
total magnetic moment	0.000	μB per formula unit
SG	Pnma
raw total energy	-43.0	eV per cell
formation energy without anion corrections	123	meV/atom
calculated density	9.9	Mg/m³

***

Computed, not measured: SrMo2Se after structural relaxation at the PBE-GGA level of DFT.

```
SrMo2Se
1.0
3.3677 0.0000 0.0000
0.0000 5.6539 0.0000
0.0000 0.0000 9.4324
Sr Mo Se
2 4 2
Direct
0.0000 0.0000 0.0000
0.5000 0.5000 0.5000
0.0000 0.0000 0.4950
0.0000 0.5000 0.8075
0.5000 0.0000 0.3075
0.5000 0.5000 0.9950
0.0000 0.5000 0.2191
0.5000 0.0000 0.7191
```

Computed properties:
Fermi-level density of states	2.17	states/eV/f.u.
total magnetic moment	0.000	μB per formula unit
SG	Imm2
raw total energy	-50.0	eV per cell
formation energy without anion corrections	455	meV/atom
calculated density	6.6	Mg/m³

***

Computed, not measured: Al2CuSi after structural relaxation at the PBE-GGA level of DFT.

```
Al2CuSi
1.0
2.6869 0.0000 0.0000
0.0000 4.3281 0.0000
0.0000 0.0000 10.5446
Al Cu Si
4 2 2
Direct
0.0000 0.0000 0.0000
0.0000 0.5000 0.1956
0.5000 0.0000 0.6956
0.5000 0.5000 0.5000
0.0000 0.5000 0.7177
0.5000 0.0000 0.2177
0.0000 0.0000 0.4206
0.5000 0.5000 0.9206
```

Computed properties:
Fermi-level density of states	1.03	states/eV/f.u.
total magnetic moment	0.000	μB per formula unit
SG	Imm2
raw total energy	-33.4	eV per cell
formation energy without anion corrections	71	meV/atom
calculated density	3.9	Mg/m³

***

Computed, not measured: InPt2Cl after structural relaxation at the PBE-GGA level of DFT.

```
InPt2Cl
1.0
4.6378 0.0000 0.0000
0.0000 4.6378 0.0000
0.0000 0.0000 6.7655
In Pt Cl
2 4 2
Direct
0.0000 0.0000 0.0000
0.5000 0.5000 0.5000
0.0000 0.0000 0.5000
0.0000 0.5000 0.7500
0.5000 0.0000 0.2500
0.5000 0.5000 0.0000
0.0000 0.5000 0.2500
0.5000 0.0000 0.7500
```

Computed properties:
Fermi-level density of states	0.71	states/eV/f.u.
total magnetic moment	0.000	μB per formula unit
SG	I-4m2
raw total energy	-32.1	eV per cell
formation energy without anion corrections	153	meV/atom
E above lowest polymorph	257.8	meV per atom
calculated density	12.3	Mg/m³

***

Computed, not measured: In2Ge2O7 after structural relaxation at the PBE-GGA level of DFT.

```
In2Ge2O7
1.0
0.0000 4.9382 4.9382
4.9382 0.0000 4.9382
4.9382 4.9382 0.0000
In Ge O
4 4 14
Direct
0.0000 0.0000 0.0000
0.0000 0.0000 0.5000
0.0000 0.5000 0.0000
0.5000 0.0000 0.0000
0.0000 0.5000 0.5000
0.5000 0.0000 0.5000
0.5000 0.5000 0.0000
0.5000 0.5000 0.5000
0.1250 0.1250 0.1250
0.1707 0.1707 0.5793
0.1707 0.5793 0.1707
0.1707 0.5793 0.5793
0.4207 0.4207 0.8293
0.4207 0.8293 0.4207
0.4207 0.8293 0.8293
0.5793 0.1707 0.1707
0.5793 0.1707 0.5793
0.5793 0.5793 0.1707
0.8293 0.4207 0.4207
0.8293 0.4207 0.8293
0.8293 0.8293 0.4207
0.8750 0.8750 0.8750
```

Computed properties:
total magnetic moment	0.000	μB per formula unit
SG	Fd-3m
raw total energy	-134.0	eV per cell
formation energy without anion corrections	-1599	meV/atom
E above lowest polymorph	20.3	meV per atom
calculated density	6.7	Mg/m³

***

Computed, not measured: Tc2IrBr after structural relaxation at the PBE-GGA level of DFT.

```
Tc2IrBr
1.0
2.9251 0.0000 0.0000
0.0000 4.5527 0.0000
0.0000 0.0000 9.2163
Tc Ir Br
4 2 2
Direct
0.0000 0.0000 0.0000
0.0000 0.5000 0.2404
0.5000 0.0000 0.7404
0.5000 0.5000 0.5000
0.0000 0.0000 0.4712
0.5000 0.5000 0.9712
0.0000 0.5000 0.7268
0.5000 0.0000 0.2268
```

Computed properties:
Fermi-level density of states	3.71	states/eV/f.u.
total magnetic moment	0.000	μB per formula unit
SG	Imm2
raw total energy	-56.4	eV per cell
formation energy without anion corrections	765	meV/atom
E above lowest polymorph	281.3	meV per atom
calculated density	12.7	Mg/m³

***

Computed, not measured: LiCuCl2 after structural relaxation at the PBE-GGA level of DFT.

```
LiCuCl2
1.0
6.6527 0.0000 0.0000
0.0000 6.6527 0.0000
0.0000 0.0000 6.6527
Li Cu Cl
4 4 8
Direct
0.0000 0.0000 0.0000
0.0000 0.5000 0.5000
0.5000 0.0000 0.5000
0.5000 0.5000 0.0000
0.2500 0.2500 0.2500
0.2500 0.7500 0.7500
0.7500 0.2500 0.7500
0.7500 0.7500 0.2500
0.0000 0.0000 0.5000
0.0000 0.5000 0.0000
0.2500 0.2500 0.7500
0.2500 0.7500 0.2500
0.5000 0.0000 0.0000
0.5000 0.5000 0.5000
0.7500 0.2500 0.2500
0.7500 0.7500 0.7500
```

Computed properties:
Fermi-level density of states	2.23	states/eV/f.u.
total magnetic moment	0.000	μB per formula unit
SG	F-43m
raw total energy	-42.2	eV per cell
formation energy without anion corrections	-211	meV/atom
calculated density	3.2	Mg/m³

***

> The lowest calculated density belongs to which entry?

LiCuCl2

***

> What is the calculated density in the sixth record?

12.3 Mg/m³

***

> calculated density of number 6 (InPt2Cl)?

12.3 Mg/m³